VASP calculation (PBE-GGA) on a geometry-optimized BaZrAg2Br8 structure.

Summary:
mass density	4072	kg/m3
formation energy without anion corrections	-1.207	eV/atom
uncorrected energy	-0.135	hartree per atom
Fermi-level density of states	0.0	states/eV/cell

Cell: 6.9618 7.4981 9.1746 Å, 69.55 89.11 80.28°
Closest atoms and distances in Å follow each position.
Space group P-1 (No. 2)
Inequivalent atoms, fractional coordinates:
Ba 0.0000 0.0000 0.0000 (multiplicity 1)  6 Br 3.23-3.35
Zr 0.0000 0.0000 0.5000 (multiplicity 1)  6 Br 2.64-2.71
Ag 0.4852 0.3346 0.1910 (multiplicity 2)  4 Br 2.65-2.89
Br 0.0942 0.2466 0.2245 (multiplicity 2)  1 Zr 2.71, 1 Ag 2.89
Br 0.1331 0.2060 0.6454 (multiplicity 2)  1 Zr 2.64
Br 0.3465 0.7819 0.5260 (multiplicity 2)  1 Zr 2.64, 1 Ag 2.65
Br 0.4279 0.7351 0.0714 (multiplicity 2)  2 Ag 2.68-2.77



VASP calculation (PBE-GGA) on a geometry-optimized Rb5HgCl8 structure.

Summary:
mass density	3083	kg/m3
formation energy without anion corrections	-1.444	eV/atom
uncorrected energy	-0.105	hartree per atom
Fermi-level density of states	28.0	states/eV/cell

Cell: 9.6052 9.6052 10.6442 Å, 90.00 90.00 90.00°
Closest atoms and distances in Å follow each position.
Space group I-4 (No. 82)
Inequivalent atoms, fractional coordinates:
Rb 0.0000 0.0000 0.0000 (multiplicity 2)  4 Cl 3.28
Rb 0.1354 0.2682 0.6162 (multiplicity 8)  7 Cl 3.24-3.54
Hg 0.0000 0.5000 0.2500 (multiplicity 2)  4 Cl 2.55
Cl 0.0538 0.2447 0.2949 (multiplicity 8)  1 Hg 2.55
Cl 0.0991 0.3158 0.9228 (multiplicity 8)  5 Rb 3.24-3.38



VASP calculation (PBE-GGA) on a geometry-optimized Ba3NdIrRuO9 structure.

Summary:
mass density	7046	kg/m3
formation energy without anion corrections	-2.105	eV/atom
uncorrected energy	-0.257	hartree per atom
Fermi-level density of states	13.7	states/eV/cell

Cell: 6.0076 6.0076 14.9823 Å, 90.00 90.00 120.00°
Closest atoms and distances in Å follow each position.
Space group P6_3mc (No. 186)
Inequivalent atoms, fractional coordinates:
Ba 0.0000 0.0000 0.0000 (multiplicity 2)  12 O 2.99-3.04
Ba 0.3333 0.6667 0.1517 (multiplicity 2)  12 O 2.92-3.24
Ba 0.3333 0.6667 0.8520 (multiplicity 2)  9 O 2.88-3.01
Nd 0.0000 0.0000 0.2505 (multiplicity 2)  6 O 2.29-2.33
Ir 0.3333 0.6667 0.4159 (multiplicity 2)  6 O 1.98-2.06
Ru 0.3333 0.6667 0.5840 (multiplicity 2)  6 O 1.95-2.06
O 0.0195 0.5097 0.4999 (multiplicity 6)  1 Ru 2.06, 1 Ir 2.06
O 0.1782 0.3565 0.6568 (multiplicity 6)  1 Ru 1.95
O 0.1785 0.3569 0.3395 (multiplicity 6)  1 Ir 1.98



VASP calculation (PBE-GGA) on a geometry-optimized DyHoCd structure.

Summary:
formation enthalpy at 0 K	-0.076	eV per atom
mass density	8679	kg/m3
uncorrected energy	-0.126	hartree per atom
Fermi-level density of states	3.5	states/eV/cell

Cell: 5.2374 5.2374 3.5426 Å, 90.00 90.00 120.00°
Closest atoms and distances in Å follow each position.
Space group P3m1 (No. 156)
Inequivalent atoms, fractional coordinates:
Dy 0.0000 0.0000 0.0000 (multiplicity 1)  3 Cd 3.19, 3 Ho 3.41, 2 Dy 3.54
Ho 0.6667 0.3333 0.4434 (multiplicity 1)  3 Cd 3.17, 3 Dy 3.41, 2 Ho 3.54
Cd 0.3333 0.6667 0.7127 (multiplicity 1)  3 Ho 3.17, 3 Dy 3.19, 2 Cd 3.54